# 1
# GdCu4Bi (PBE, relaxed)
# Energy of formation ... -2.76 kcal/mol of atoms
# VASP energy ... -5.84 eV/atom
# Density ... 9.851 Mg/m³
data_GdCu4Bi
_cell_length_a 7.479
_cell_length_b 7.479
_cell_length_c 7.479
_cell_angle_alpha 90.00
_cell_angle_beta 90.00
_cell_angle_gamma 90.00
_space_group_name_H-M_alt 'F -4 3 m'
_space_group_IT_number 216
_space_group_name_Hall 'F -4 2 3'
loop_
_atom_site_label
_atom_site_fract_x
_atom_site_fract_y
_atom_site_fract_z
_atom_site_occupancy
Gd1 0.000 0.000 0.000 1
Cu1 0.126 0.126 0.374 1
Bi1 0.250 0.250 0.750 1



# 2
# BaSn2PbSe4 (PBE, relaxed)
# ΔE_f (raw) ... -0.8369 eV per atom
# VASP energy ... -4.28 eV/atom
# Density ... 6.053 Mg/m³
data_BaSn2PbSe4
_cell_length_a 7.663
_cell_length_b 4.427
_cell_length_c 7.694
_cell_angle_alpha 90.00
_cell_angle_beta 109.33
_cell_angle_gamma 90.00
_space_group_name_H-M_alt 'P 1 2/m 1'
_space_group_IT_number 10
_space_group_name_Hall '-P 2y'
loop_
_atom_site_label
_atom_site_fract_x
_atom_site_fract_y
_atom_site_fract_z
_atom_site_occupancy
Ba1 0.000 0.000 0.000 1
Sn1 0.000 0.500 0.500 1
Sn2 0.500 0.000 0.500 1
Pb1 0.500 0.500 0.000 1
Se1 0.252 0.000 0.737 1
Se2 0.261 0.500 0.267 1



# 3
# Tm2InPb6 (PBE, relaxed)
# Energy of formation ... -3.20 kcal/mol of atoms
# VASP energy ... -3.91 eV/atom
# Density ... 10.582 Mg/m³
data_Tm2InPb6
_cell_length_a 18.151
_cell_length_b 3.607
_cell_length_c 8.149
_cell_angle_alpha 90.00
_cell_angle_beta 93.89
_cell_angle_gamma 90.00
_space_group_name_H-M_alt 'C 1 2/m 1'
_space_group_IT_number 12
_space_group_name_Hall '-C 2y'
loop_
_atom_site_label
_atom_site_fract_x
_atom_site_fract_y
_atom_site_fract_z
_atom_site_occupancy
Tm1 0.066 0.000 0.301 1
In1 0.000 0.500 0.000 1
Pb1 0.084 0.500 0.637 1
Pb2 0.162 0.000 0.969 1
Pb3 0.222 0.500 0.331 1



# 4
# Ga3NiP (PBE, relaxed)
# Energy of formation ... 15.63 kcal/mol of atoms
# VASP energy ... -3.38 eV/atom
# Density ... 4.747 Mg/m³
data_Ga3NiP
_cell_length_a 4.711
_cell_length_b 4.711
_cell_length_c 4.711
_cell_angle_alpha 90.00
_cell_angle_beta 90.00
_cell_angle_gamma 90.00
_space_group_name_H-M_alt 'P m -3 m'
_space_group_IT_number 221
_space_group_name_Hall '-P 4 2 3'
loop_
_atom_site_label
_atom_site_fract_x
_atom_site_fract_y
_atom_site_fract_z
_atom_site_occupancy
Ga1 0.000 0.000 0.500 1
Ni1 0.500 0.500 0.500 1
P1 0.000 0.000 0.000 1



# 5
# Sm5Tm2Sn4 (PBE, relaxed)
# Energy of formation ... -4.34 kcal/mol of atoms
# VASP energy ... -4.60 eV/atom
# Density ... 7.466 Mg/m³
data_Sm5Tm2Sn4
_cell_length_a 37.783
_cell_length_b 3.457
_cell_length_c 5.382
_cell_angle_alpha 90.00
_cell_angle_beta 98.12
_cell_angle_gamma 90.00
_space_group_name_H-M_alt 'C 1 2/m 1'
_space_group_IT_number 12
_space_group_name_Hall '-C 2y'
loop_
_atom_site_label
_atom_site_fract_x
_atom_site_fract_y
_atom_site_fract_z
_atom_site_occupancy
Sm1 0.000 0.000 0.000 1
Sm2 0.137 0.500 0.635 1
Sm3 0.207 0.500 0.204 1
Tm1 0.082 0.500 0.081 1
Sn1 0.043 0.500 0.543 1
Sn2 0.209 0.000 0.707 1